No. 1
ScCrN3: relaxed, PBE.

Cell: 3.984 3.984 3.984 Å, 90.00 90.00 90.00°
Site moments in Bohr magnetons follow the coordinates.
Positions (direct):
Cr 0.500 0.500 0.500  0.53
N 0.000 0.500 0.000  -0.30
N 0.500 0.000 0.000  -0.26
N 0.000 0.000 0.500  -0.38
Sc 0.000 0.000 0.000  -0.04

Properties
final energy	-33.446	eV/cell
E_form (uncorrected)	1497	meV per atom
D(E_F)	7.95	states/eV per cell
crystal system	cubic
ρ	3649	kg/m³
symmetry	Pm-3m (221)

=====

No. 2
Sc2CrN: relaxed, PBE.

Cell: 7.758 7.758 7.758 Å, 22.80 22.80 22.80°
Positions (direct):
N 0.500 0.500 0.500
Sc 0.889 0.889 0.889
Sc 0.111 0.111 0.111
Cr 0.000 0.000 0.000

Properties
final energy	-31.999	eV/cell
E_form (uncorrected)	-347	meV per atom
D(E_F)	3.79	states/eV per cell
crystal system	trigonal
ρ	4208	kg/m³
symmetry	R-3m (166)

=====

No. 3
ScCrN: relaxed, PBE.

Cell: 3.212 3.212 7.461 Å, 90.00 90.00 90.00°
Site moments in Bohr magnetons follow the coordinates.
Positions (direct):
N 0.000 0.500 0.325  -0.01
N 0.500 0.000 0.675  -0.01
Cr 0.000 0.000 0.500  0.31
Cr 0.500 0.500 0.500  0.31
Sc 0.000 0.500 0.818  -0.02
Sc 0.500 0.000 0.182  -0.02

Properties
final energy	-51.157	eV/cell
E_form (uncorrected)	-433	meV per atom
D(E_F)	5.64	states/eV per cell
crystal system	tetragonal
ρ	4786	kg/m³
symmetry	P4/nmm (129)

=====

No. 4
ScCrN3: relaxed, PBE.

Cell: 3.683 3.683 3.683 Å, 90.00 90.00 90.00°
Positions (direct):
N 0.500 0.000 0.000
N 0.000 0.500 0.000
N 0.000 0.000 0.500
Cr 0.000 0.000 0.000
Sc 0.500 0.500 0.500

Properties
final energy	-42.222	eV/cell
E_form (uncorrected)	-258	meV per atom
D(E_F)	2.33	states/eV per cell
crystal system	cubic
ρ	4618	kg/m³
symmetry	Pm-3m (221)

=====

No. 5
Sc3CrN: relaxed, PBE.

Cell: 4.376 4.376 4.376 Å, 90.00 90.00 90.00°
Positions (direct):
Sc 0.500 0.000 0.000
Sc 0.000 0.500 0.000
Sc 0.000 0.000 0.500
N 0.000 0.000 0.000
Cr 0.500 0.500 0.500

Properties
final energy	-39.016	eV/cell
E_form (uncorrected)	-414	meV per atom
D(E_F)	8.97	states/eV per cell
crystal system	cubic
ρ	3980	kg/m³
symmetry	Pm-3m (221)

=====

No. 6
ScCrSe2N: relaxed, PBE.

Cell: 5.207 5.207 4.070 Å, 90.00 90.00 90.00°
Site moments in Bohr magnetons follow the coordinates.
Positions (direct):
Sc 0.000 0.000 0.000  -0.01
Se 0.500 0.000 0.000  0.35
Se 0.000 0.500 0.000  0.35
Cr 0.500 0.500 0.500  -3.97
N 0.000 0.000 0.500  0.95

Properties
final energy	-30.406	eV/cell
E_form (uncorrected)	169	meV per atom
D(E_F)	2.53	states/eV per cell
crystal system	tetragonal
ρ	4046	kg/m³
symmetry	P4/mmm (123)

=====

No. 7
ScCrSe2N: relaxed, PBE.

Cell: 4.975 4.975 3.582 Å, 90.00 90.00 90.00°
Site moments in Bohr magnetons follow the coordinates.
Positions (direct):
N 0.000 0.000 0.500  -0.32
Se 0.500 0.000 0.000  -0.05
Se 0.000 0.500 0.000  -0.05
Sc 0.500 0.500 0.500  0.14
Cr 0.000 0.000 0.000  1.96

Properties
final energy	-33.570	eV/cell
E_form (uncorrected)	-464	meV per atom
D(E_F)	2.67	states/eV per cell
crystal system	tetragonal
ρ	5037	kg/m³
symmetry	P4/mmm (123)

=====

No. 8
ScCrSe2N: relaxed, PBE.

Cell: 4.401 5.197 4.401 Å, 90.00 90.00 90.00°
Positions (direct):
Sc 0.000 0.500 0.000
Se 0.500 0.000 0.000
Se 0.000 0.000 0.500
N 0.500 0.500 0.500
Cr 0.000 0.000 0.000

Properties
final energy	-26.843	eV/cell
E_form (uncorrected)	881	meV per atom
D(E_F)	5.34	states/eV per cell
crystal system	tetragonal
ρ	4435	kg/m³
symmetry	P4/mmm (123)

=====

No. 9
SmSc2CrN4: relaxed, PBE.

Cell: 3.247 5.786 10.988 Å, 90.00 90.00 106.30°
Site moments in Bohr magnetons follow the coordinates.
Positions (direct):
N 0.737 0.473 0.620  0.00
N 0.427 0.854 0.750  -0.02
N 0.263 0.527 0.380  0.00
N 0.573 0.146 0.250  -0.02
N 0.000 0.000 0.500  0.01
N 0.263 0.527 0.120  0.00
N 0.737 0.473 0.880  0.00
N 0.000 0.000 0.000  0.01
Sc 0.370 0.741 0.958  0.01
Sc 0.630 0.259 0.458  0.01
Sc 0.370 0.741 0.542  0.01
Sc 0.630 0.259 0.042  0.01
Sm 0.905 0.811 0.250  -0.01
Sm 0.095 0.189 0.750  -0.01
Cr 0.834 0.667 0.750  0.58
Cr 0.166 0.333 0.250  0.58

Properties
final energy	-142.314	eV/cell
E_form (uncorrected)	-1356	meV per atom
D(E_F)	6.48	states/eV per cell
crystal system	orthorhombic
ρ	5837	kg/m³
symmetry	Cmcm (63)

=====

No. 10
Sc2CrSnN: relaxed, PBE.

Cell: 4.554 4.554 3.819 Å, 90.00 90.00 90.00°
Positions (direct):
N 0.000 0.000 0.000
Cr 0.000 0.000 0.500
Sc 0.000 0.500 0.000
Sc 0.500 0.000 0.000
Sn 0.500 0.500 0.500

Properties
final energy	-38.657	eV/cell
E_form (uncorrected)	-808	meV per atom
D(E_F)	3.34	states/eV per cell
crystal system	tetragonal
ρ	5757	kg/m³
symmetry	P4/mmm (123)

=====

No. 11
ScCrTe2N: relaxed, PBE.

Cell: 5.397 5.397 3.588 Å, 90.00 90.00 90.00°
Site moments in Bohr magnetons follow the coordinates.
Positions (direct):
Te 0.000 0.500 0.000  -0.06
Te 0.500 0.000 0.000  -0.06
Sc 0.500 0.500 0.500  -0.11
N 0.000 0.000 0.500  -0.28
Cr 0.000 0.000 0.000  1.89

Properties
final energy	-31.707	eV/cell
E_form (uncorrected)	-229	meV per atom
D(E_F)	2.75	states/eV per cell
crystal system	tetragonal
ρ	5817	kg/m³
symmetry	P4/mmm (123)

=====

No. 12
ScCrTe2N: relaxed, PBE.

Cell: 5.722 5.722 3.858 Å, 90.00 90.00 90.00°
Site moments in Bohr magnetons follow the coordinates.
Positions (direct):
Te 0.000 0.500 0.000  -0.16
Te 0.500 0.000 0.000  -0.16
Cr 0.500 0.500 0.500  4.02
N 0.000 0.000 0.500  0.15
Sc 0.000 0.000 0.000  0.01

Properties
final energy	-28.915	eV/cell
E_form (uncorrected)	330	meV per atom
D(E_F)	3.95	states/eV per cell
crystal system	tetragonal
ρ	4814	kg/m³
symmetry	P4/mmm (123)